# 1
VASP calculation (PBE) on crystalline Y2AsPb at its relaxed geometry.

Computed properties:
energy above the most stable polymorph in this dataset	20.4	kJ/mol of atoms

Lattice parameters (Å, degrees): 3.614 3.614 8.267 90.00 90.00 103.05
Element x y z (fractional)
Y1 0.000 0.000 0.030
Y2 0.000 0.000 0.470
Pb1 0.500 0.500 0.750
As1 0.500 0.500 0.250

---

# 2
VASP calculation (PBE) on crystalline In9SnHg6 at its relaxed geometry.

Computed properties:
E_tot	-29.93	eV for the cell shown

Lattice parameters (Å, degrees): 18.023 4.437 11.720 119.07 147.34 67.32
Element x y z (fractional)
In1 0.742 0.540 0.706
In2 0.963 0.166 0.706
In3 0.868 0.302 0.350
In4 0.500 0.500 0.000
In5 0.518 0.952 0.650
In6 0.258 0.460 0.294
In7 0.132 0.698 0.650
In8 0.037 0.834 0.294
In9 0.482 0.048 0.350
Hg1 0.377 0.210 0.000
Hg2 0.741 0.741 0.483
Hg3 0.800 0.335 0.000
Hg4 0.200 0.665 0.000
Hg5 0.623 0.790 0.000
Hg6 0.259 0.259 0.517
Sn1 0.000 0.000 0.000

---

# 3
VASP calculation (PBE) on crystalline FeBr4N at its relaxed geometry.

Computed properties:
formation energy without anion corrections	0.310	eV per atom

Lattice parameters (Å, degrees): 7.834 13.040 13.838 42.56 90.00 90.00
Site moments in Bohr magnetons follow the coordinates.
Element x y z (fractional)
Br1 0.102 0.343 0.807  0.12
Br2 0.332 0.523 0.108  0.16
Br3 0.255 0.112 0.429  0.17
Br4 0.886 0.174 0.144  -0.03
Br5 0.255 0.888 0.071  0.17
Br6 0.668 0.477 0.892  0.16
Br7 0.898 0.343 0.307  0.12
Br8 0.102 0.657 0.693  0.12
Br9 0.745 0.888 0.571  0.17
Br10 0.898 0.657 0.193  0.12
Br11 0.668 0.523 0.608  0.16
Br12 0.886 0.826 0.356  -0.03
Br13 0.114 0.826 0.856  -0.03
Br14 0.745 0.112 0.929  0.17
Br15 0.114 0.174 0.644  -0.03
Br16 0.332 0.477 0.392  0.16
N1 0.021 0.000 0.250  -0.43
N2 0.760 0.500 0.250  0.31
N3 0.979 0.000 0.750  -0.43
N4 0.240 0.500 0.750  0.31
Fe1 0.204 0.665 0.140  3.38
Fe2 0.796 0.665 0.640  3.38
Fe3 0.204 0.335 0.360  3.38
Fe4 0.796 0.335 0.860  3.38

---

# 4
VASP calculation (PBE) on crystalline Ta6CrMo3 at its relaxed geometry.

Computed properties:
E_tot	-228.54	eV for the cell shown

Lattice parameters (Å, degrees): 4.566 7.911 9.656 105.53 90.00 90.00
Element x y z (fractional)
Ta1 0.250 0.243 0.503
Ta2 0.750 0.545 0.899
Ta3 0.750 0.946 0.105
Ta4 0.750 0.757 0.497
Ta5 0.250 0.455 0.101
Ta6 0.750 0.851 0.797
Ta7 0.250 0.149 0.203
Ta8 0.750 0.353 0.305
Ta9 0.250 0.647 0.695
Ta10 0.250 0.851 0.308
Ta11 0.250 0.054 0.895
Ta12 0.750 0.149 0.692
Mo1 0.750 0.652 0.201
Mo2 0.750 0.246 0.001
Mo3 0.250 0.549 0.400
Mo4 0.750 0.451 0.600
Mo5 0.250 0.754 0.999
Mo6 0.250 0.348 0.799
Cr1 0.250 0.949 0.599
Cr2 0.750 0.051 0.401

---

# 5
VASP calculation (PBE) on crystalline DyAlIrO6 at its relaxed geometry.

Computed properties:
formation energy without anion corrections	-1.890	eV per atom

Lattice parameters (Å, degrees): 5.219 5.219 8.548 90.00 90.00 120.00
Element x y z (fractional)
O1 0.659 0.703 0.617
O2 0.703 0.044 0.383
O3 0.659 0.956 0.883
O4 0.341 0.297 0.383
O5 0.956 0.659 0.383
O6 0.341 0.044 0.117
O7 0.703 0.659 0.117
O8 0.044 0.341 0.617
O9 0.297 0.956 0.617
O10 0.297 0.341 0.883
O11 0.044 0.703 0.883
O12 0.956 0.297 0.117
Al1 0.000 0.000 0.000
Al2 0.000 0.000 0.500
Dy1 0.333 0.667 0.250
Dy2 0.667 0.333 0.750
Ir1 0.333 0.667 0.750
Ir2 0.667 0.333 0.250

---

# 6
VASP calculation (PBE) on crystalline KReIrBr2 at its relaxed geometry.

Computed properties:
formation energy without anion corrections	0.444	eV per atom

Lattice parameters (Å, degrees): 5.311 4.780 5.311 90.00 90.00 90.00
Site moments in Bohr magnetons follow the coordinates.
Element x y z (fractional)
Re1 0.000 0.000 0.000  0.96
K1 0.500 0.500 0.500  0.00
Br1 0.000 0.000 0.500  0.03
Br2 0.500 0.000 0.000  0.04
Ir1 0.000 0.500 0.000  0.21

---

# 7
VASP calculation (PBE) on crystalline ScTlZn2 at its relaxed geometry.

Computed properties:
energy above the most stable polymorph in this dataset	20.5	kJ/mol of atoms

Lattice parameters (Å, degrees): 9.166 9.166 9.166 21.19 21.19 21.19
Element x y z (fractional)
Zn1 0.996 0.996 0.996
Zn2 0.504 0.504 0.504
Sc1 0.250 0.250 0.250
Tl1 0.750 0.750 0.750

---

# 8
VASP calculation (PBE) on crystalline CeGdTlPb at its relaxed geometry.

Computed properties:
E_tot	-27.49	eV for the cell shown

Lattice parameters (Å, degrees): 5.499 5.499 5.499 60.00 60.00 60.00
Site moments in Bohr magnetons follow the coordinates.
Element x y z (fractional)
Gd1 0.500 0.500 0.500  7.21
Tl1 0.250 0.250 0.250  0.01
Ce1 0.000 0.000 0.000  0.98
Pb1 0.750 0.750 0.750  -0.02

---

# 9
VASP calculation (PBE) on crystalline LiMgCdF6 at its relaxed geometry.

Computed properties:
formation energy without anion corrections	-2.518	eV per atom

Lattice parameters (Å, degrees): 4.836 4.836 9.692 90.00 90.00 90.00
Site moments in Bohr magnetons follow the coordinates.
Element x y z (fractional)
F1 0.295 0.295 0.342  0.14
F2 0.795 0.205 0.842  0.14
F3 0.181 0.819 0.170  0.13
F4 0.697 0.697 0.988  0.15
F5 0.319 0.319 0.670  0.13
F6 0.819 0.181 0.170  0.13
F7 0.205 0.795 0.842  0.14
F8 0.681 0.681 0.670  0.13
F9 0.803 0.197 0.488  0.15
F10 0.303 0.303 0.988  0.15
F11 0.705 0.705 0.342  0.14
F12 0.197 0.803 0.488  0.15
Li1 0.500 0.500 0.499  0.00
Li2 0.000 0.000 0.999  0.00
Cd1 0.500 0.500 0.168  0.14
Cd2 0.000 0.000 0.668  0.14
Mg1 0.500 0.500 0.833  0.00
Mg2 0.000 0.000 0.333  0.00

---

# 10
VASP calculation (PBE) on crystalline LaTlCd2 at its relaxed geometry.

Computed properties:
E_tot	-9.31	eV for the cell shown

Lattice parameters (Å, degrees): 10.150 10.150 10.150 20.87 20.87 20.87
Element x y z (fractional)
La1 0.502 0.502 0.502
Cd1 0.258 0.258 0.258
Cd2 0.997 0.997 0.997
Tl1 0.743 0.743 0.743

---

# 11
VASP calculation (PBE) on crystalline AcHf2CrN4 at its relaxed geometry.

Computed properties:
formation energy without anion corrections	-1.285	eV per atom

Lattice parameters (Å, degrees): 3.327 5.923 11.156 90.00 90.00 106.31
Site moments in Bohr magnetons follow the coordinates.
Element x y z (fractional)
N1 0.583 0.166 0.250  -0.03
N2 0.000 0.000 0.500  0.01
N3 0.261 0.522 0.390  0.02
N4 0.739 0.478 0.890  0.02
N5 0.261 0.522 0.110  0.02
N6 0.739 0.478 0.610  0.02
N7 0.000 0.000 0.000  0.01
N8 0.417 0.834 0.750  -0.03
Hf1 0.633 0.265 0.046  -0.02
Hf2 0.367 0.735 0.546  -0.02
Hf3 0.367 0.735 0.954  -0.02
Hf4 0.633 0.265 0.454  -0.02
Cr1 0.168 0.337 0.250  0.83
Cr2 0.832 0.663 0.750  0.83
Ac1 0.905 0.811 0.250  0.02
Ac2 0.095 0.189 0.750  0.02